1.
! DyGa2Ag4 | Alexandria via LeMat-Bulk | PBE | optimized geometry; values from VASP
&SYSTEM
  ibrav = 0, nat = 7, ntyp = 3
/
ATOMIC_SPECIES
Dy 162.50 Dy.upf
Ga 69.72 Ga.upf
Ag 107.87 Ag.upf
CELL_PARAMETERS angstrom
2.1095 -7.6538 0.0000
2.1095 7.6538 0.0000
0.0000 0.0000 4.1991
ATOMIC_POSITIONS angstrom
Dy 0.0000 0.0000 0.0000
Ga 2.1095 1.2111 2.0996
Ga 2.1095 -1.2111 2.0996
Ag 2.1095 4.8694 2.0996
Ag 2.1095 2.7830 0.0000
Ag 2.1095 -2.7830 0.0000
Ag 2.1095 -4.8694 2.0996
! M_tot, μB/f.u.: 0.00
! Formation energy from the elements, eV per atom: -0.231
! E above lowest polymorph, kJ per mole of atoms: 0.0

2.
! Dy5Ga2Ag | Alexandria via LeMat-Bulk | PBE | optimized geometry; values from VASP
&SYSTEM
  ibrav = 0, nat = 16, ntyp = 3
/
ATOMIC_SPECIES
Dy 162.50 Dy.upf
Ga 69.72 Ga.upf
Ag 107.87 Ag.upf
CELL_PARAMETERS angstrom
-3.7613 3.7613 7.3782
3.7613 -3.7613 7.3782
3.7613 3.7613 -7.3782
ATOMIC_POSITIONS angstrom
Dy 0.0000 0.0000 0.0000
Dy 5.0331 1.2718 -2.1572
Dy 1.2718 2.4896 -2.1572
Dy 5.0331 1.2718 2.1572
Dy 1.2718 2.4896 2.1572
Dy 0.0000 0.0000 7.3782
Dy 2.4896 1.2718 5.2210
Dy -1.2718 2.4896 5.2210
Dy 2.4896 1.2718 9.5353
Dy -1.2718 2.4896 9.5353
Ga 2.8444 0.9169 0.0000
Ga 2.8444 -0.9169 7.3782
Ga 0.9169 4.6782 0.0000
Ga 0.9169 2.8444 7.3782
Ag 0.0000 0.0000 3.6891
Ag 0.0000 0.0000 11.0672
! M_tot, μB/f.u.: 0.00
! Formation energy from the elements, eV per atom: -0.391
! E above lowest polymorph, kJ per mole of atoms: 0.0